# 1
Computed, not measured: a relaxed structure of Pr3Zn2HgPdAu2 at the GGA-PBE level of DFT.

abc: 4.0134 7.7235 7.7235
angles: 118.97 90.00 90.00
With the nearest neighbours (Å) after each atom.
Fractional positions:
Au (0.5000, 0.6651, 0.3211)  2 Zn 2.92-2.98, 6 Pr 3.04-3.15, 1 Hg 3.06
Au (0.5000, 0.3211, 0.6651)  2 Zn 2.92-2.98, 6 Pr 3.04-3.15, 1 Hg 3.06
Hg (0.5000, 0.7517, 0.7517)  2 Pd 2.92, 2 Au 3.06
Pd (0.0000, 0.0215, 0.0215)  4 Zn 2.70, 2 Hg 2.92, 1 Pr 2.96
Pr (0.0000, 0.3984, 0.3984)  1 Pd 2.96, 4 Au 3.13
Pr (0.0000, 0.9983, 0.5982)  4 Au 3.04-3.15, 1 Pd 3.19, 2 Hg 3.35, 4 Zn 3.39-3.40
Pr (0.0000, 0.5982, 0.9983)  4 Au 3.04-3.15, 1 Pd 3.19, 2 Hg 3.35, 4 Zn 3.39-3.40
Zn (0.5000, 0.2449, 0.0009)  2 Pd 2.70, 2 Au 2.92-2.98
Zn (0.5000, 0.0009, 0.2449)  2 Pd 2.70, 2 Au 2.92-2.98

Calculated values
For the total magnetic moment, the calculation gives 0.005 Bohr magnetons per cell. The formation energy is -0.649 eV/atom. As for the energy: -34.7 eV for the cell shown. The space group is Amm2, No. 38.

***

# 2
Computed, not measured: a relaxed structure of Tb3Hg3Pd2Au at the GGA-PBE level of DFT.

abc: 7.8637 7.8637 3.7751
angles: 90.00 90.00 120.00
With the nearest neighbours (Å) after each atom.
Fractional positions:
Au (0.0000, 0.0000, 0.0000)  6 Hg 2.89, 3 Tb 3.13
Hg (0.2780, 0.0000, 0.5000)  2 Pd 2.86, 2 Au 2.89, 2 Tb 3.17
Hg (0.0000, 0.2780, 0.5000)  2 Pd 2.86, 2 Au 2.89, 2 Tb 3.17
Hg (0.7220, 0.7220, 0.5000)  2 Pd 2.86, 2 Au 2.89, 2 Tb 3.17
Pd (0.6667, 0.3333, 0.5000)  3 Hg 2.86, 6 Tb 3.06
Pd (0.3333, 0.6667, 0.5000)  3 Hg 2.86, 6 Tb 3.06
Tb (0.6015, 0.0000, 0.0000)  4 Pd 3.06, 1 Au 3.13, 6 Hg 3.17-3.36
Tb (0.3985, 0.3985, 0.0000)  4 Pd 3.06, 1 Au 3.13, 6 Hg 3.17-3.36
Tb (0.0000, 0.6015, 0.0000)  4 Pd 3.06, 1 Au 3.13, 6 Hg 3.17-3.36

Calculated values
For the total magnetic moment, the calculation gives 0.014 Bohr magnetons per cell. The formation energy is -0.690 eV/atom. As for the energy: -34.6 eV for the cell shown. The space group is P-62m, No. 189.

***

# 3
Computed, not measured: a relaxed structure of Pr2HgAu5 at the GGA-PBE level of DFT.

abc: 4.8288 6.5584 6.5584
angles: 60.99 90.00 90.00
With the nearest neighbours (Å) after each atom.
Fractional positions:
Au (0.5000, 0.1542, 0.1542)  6 Au 2.98-3.04, 4 Pr 3.16-3.33
Au (0.5000, 0.6894, 0.1561)  2 Hg 3.00, 4 Au 3.00-3.11, 3 Pr 3.16-3.20
Au (0.0000, 0.8494, 0.3124)  5 Au 2.98-3.08, 1 Hg 3.07, 4 Pr 3.13-3.31
Au (0.5000, 0.1561, 0.6894)  2 Hg 3.00, 4 Au 3.00-3.11, 3 Pr 3.16-3.20
Au (0.0000, 0.3124, 0.8494)  5 Au 2.98-3.08, 1 Hg 3.07, 4 Pr 3.13-3.31
Hg (0.0000, 0.8459, 0.8459)  6 Au 3.00-3.07, 4 Pr 3.22-3.33
Pr (0.0000, 0.3348, 0.3348)  10 Au 3.16-3.31, 2 Hg 3.33
Pr (0.5000, 0.6580, 0.6580)  10 Au 3.13-3.37, 2 Hg 3.22

Calculated values
For the total magnetic moment, the calculation gives 0.009 Bohr magnetons per cell. The formation energy is -0.618 eV/atom. As for the energy: -31.1 eV for the cell shown. The space group is Amm2, No. 38.

***

# 4
Computed, not measured: a relaxed structure of PrHgAu at the GGA-PBE level of DFT.

abc: 4.9193 4.9193 4.9193
angles: 60.00 60.00 60.00
With the nearest neighbours (Å) after each atom.
Fractional positions:
Au (0.0000, 0.0000, 0.0000)  4 Pr 3.01, 4 Hg 3.01
Hg (0.2500, 0.2500, 0.2500)  4 Au 3.01
Pr (0.7500, 0.7500, 0.7500)  4 Au 3.01

Calculated values
For the total magnetic moment, the calculation gives 0.158 Bohr magnetons per cell. The formation energy is -0.529 eV/atom. As for the energy: -9.9 eV for the cell shown. The space group is F-43m, No. 216.

***

# 5
Computed, not measured: a relaxed structure of Pr3Hg3PtAu2 at the GGA-PBE level of DFT.

abc: 7.9780 7.9780 3.9768
angles: 90.00 90.00 120.00
With the nearest neighbours (Å) after each atom.
Fractional positions:
Au (0.6667, 0.3333, 0.5000)  3 Hg 2.99, 6 Pr 3.16
Au (0.3333, 0.6667, 0.5000)  3 Hg 2.99, 6 Pr 3.16
Hg (0.7388, 0.0000, 0.5000)  2 Pt 2.88, 2 Au 2.99
Hg (0.2612, 0.2612, 0.5000)  2 Pt 2.88, 2 Au 2.99
Hg (0.0000, 0.7388, 0.5000)  2 Pt 2.88, 2 Au 2.99
Pr (0.3910, 0.0000, 0.0000)  1 Pt 3.12, 4 Au 3.16, 6 Hg 3.39-3.41
Pr (0.0000, 0.3910, 0.0000)  1 Pt 3.12, 4 Au 3.16, 6 Hg 3.39-3.41
Pr (0.6090, 0.6090, 0.0000)  1 Pt 3.12, 4 Au 3.16, 6 Hg 3.39-3.41
Pt (0.0000, 0.0000, 0.0000)  6 Hg 2.88, 3 Pr 3.12

Calculated values
For the total magnetic moment, the calculation gives 0.000 Bohr magnetons per cell. The formation energy is -0.678 eV/atom. As for the energy: -33.9 eV for the cell shown. The space group is P-62m, No. 189.

***

# 6
Computed, not measured: a relaxed structure of PrTmHg2Au4 at the GGA-PBE level of DFT.

abc: 4.9780 4.9780 7.0420
angles: 90.00 90.00 90.00
With the nearest neighbours (Å) after each atom.
Fractional positions:
Au (0.5000, 0.0000, 0.2662)  2 Tm 2.98, 4 Hg 2.98-3.12, 2 Pr 3.12, 1 Au 3.29
Au (0.0000, 0.5000, 0.2662)  2 Tm 2.98, 4 Hg 2.98-3.12, 2 Pr 3.12, 1 Au 3.29
Au (0.5000, 0.0000, 0.7338)  4 Hg 2.98-3.12, 2 Tm 2.98, 2 Pr 3.12, 1 Au 3.29
Au (0.0000, 0.5000, 0.7338)  4 Hg 2.98-3.12, 2 Tm 2.98, 2 Pr 3.12, 1 Au 3.29
Hg (0.5000, 0.5000, 0.0000)  8 Au 3.12
Hg (0.0000, 0.0000, 0.5000)  8 Au 2.98
Pr (0.0000, 0.0000, 0.0000)  8 Au 3.12
Tm (0.5000, 0.5000, 0.5000)  8 Au 2.98

Calculated values
For the total magnetic moment, the calculation gives 0.004 Bohr magnetons per cell. The formation energy is -0.582 eV/atom. As for the energy: -27.6 eV for the cell shown. The space group is P4/mmm, No. 123.

***

# 7
Computed, not measured: a relaxed structure of Rb2HgAu at the GGA-PBE level of DFT.

abc: 4.9424 6.8628 6.8628
angles: 43.90 90.00 90.00
With the nearest neighbours (Å) after each atom.
Fractional positions:
Au (0.5000, 0.5621, 0.5621)  2 Hg 2.94
Hg (0.0000, 0.6867, 0.6867)  2 Au 2.94
Rb (0.5000, 0.2681, 0.2681)  3 Au 3.67-3.74, 4 Hg 3.71
Rb (0.0000, 0.9823, 0.9823)  3 Hg 3.65-3.76, 4 Au 3.70

Calculated values
As for the energy: -6.6 eV for the cell shown. The space group is Amm2, No. 38.

***

# 8
Computed, not measured: a relaxed structure of Rb3Hg3Au2 at the GGA-PBE level of DFT.

abc: 6.7217 6.7217 17.5711
angles: 90.00 90.00 136.15
With the nearest neighbours (Å) after each atom.
Fractional positions:
Au (0.7192, 0.2808, 0.1106)  4 Hg 2.92-3.08
Au (0.7192, 0.2808, 0.3894)  4 Hg 2.92-3.08
Au (0.2808, 0.7192, 0.6106)  4 Hg 2.92-3.08
Au (0.2808, 0.7192, 0.8894)  4 Hg 2.92-3.08
Hg (0.1446, 0.8554, 0.0355)  3 Au 2.98-3.08
Hg (0.8466, 0.1534, 0.2500)  2 Au 2.92
Hg (0.1446, 0.8554, 0.4645)  3 Au 2.98-3.08
Hg (0.8554, 0.1446, 0.5355)  3 Au 2.98-3.08
Hg (0.1534, 0.8466, 0.7500)  2 Au 2.92
Hg (0.8554, 0.1446, 0.9645)  3 Au 2.98-3.08
Rb (0.4294, 0.5706, 0.1035)  3 Au 3.62-3.63, 7 Hg 3.62-3.86, 1 Rb 4.04
Rb (0.1382, 0.8618, 0.2500)  5 Hg 3.61-3.77, 4 Au 3.65
Rb (0.4294, 0.5706, 0.3965)  3 Au 3.62-3.63, 7 Hg 3.62-3.86, 1 Rb 4.04
Rb (0.5706, 0.4294, 0.6035)  3 Au 3.62-3.63, 7 Hg 3.62-3.86, 1 Rb 4.04
Rb (0.8618, 0.1382, 0.7500)  5 Hg 3.61-3.77, 4 Au 3.65
Rb (0.5706, 0.4294, 0.8965)  3 Au 3.62-3.63, 7 Hg 3.62-3.86, 1 Rb 4.04

Calculated values
As for the energy: -25.2 eV for the cell shown. The space group is Cmcm, No. 63.

***

# 9
Computed, not measured: a relaxed structure of HgAuS at the GGA-PBE level of DFT.

abc: 4.8824 4.8895 7.2904
angles: 106.24 106.97 95.32
With the nearest neighbours (Å) after each atom.
Fractional positions:
Au (0.5818, 0.4209, 0.0020)  2 S 2.33
Au (0.0817, 0.9211, 0.0020)  2 S 2.33
Hg (0.6926, 0.0305, 0.3854)  1 S 2.49, 1 Hg 2.66
Hg (0.4709, 0.8115, 0.6185)  1 S 2.49, 1 Hg 2.66
S (0.9604, 0.2958, 0.2247)  2 Au 2.33, 1 Hg 2.49
S (0.2032, 0.5464, 0.7794)  2 Au 2.33, 1 Hg 2.49

Calculated values
As for the energy: -16.1 eV for the cell shown. The space group is P-1, No. 2.

***

# 10
Computed, not measured: a relaxed structure of SnHgAu2SeS3 at the GGA-PBE level of DFT.

abc: 5.9592 5.9592 7.1749
angles: 114.57 114.57 89.01
With the nearest neighbours (Å) after each atom.
Fractional positions:
Au (0.7183, 0.2561, 0.4797)  3 S 2.47-2.52, 1 Se 2.71
Au (0.2561, 0.7183, 0.4797)  3 S 2.47-2.52, 1 Se 2.71
Hg (0.9990, 0.9990, 0.0010)  3 S 2.62-2.67, 1 Se 2.69
S (0.8729, 0.3937, 0.2654)  2 Au 2.47-2.48, 1 Sn 2.49, 1 Hg 2.67
S (0.3937, 0.8729, 0.2654)  2 Au 2.47-2.48, 1 Sn 2.49, 1 Hg 2.67
S (0.6200, 0.6200, 0.7581)  1 Sn 2.49, 2 Au 2.52, 1 Hg 2.62
Se (0.1315, 0.1315, 0.7400)  1 Sn 2.60, 1 Hg 2.69, 2 Au 2.71
Sn (0.5084, 0.5084, 0.0108)  3 S 2.49, 1 Se 2.60

Calculated values
As for the energy: -27.5 eV for the cell shown. The space group is Cm, No. 8.

***

# 11
Computed, not measured: a relaxed structure of ScHg2Au at the GGA-PBE level of DFT.

abc: 4.8358 4.8358 4.8358
angles: 60.00 60.00 60.00
With the nearest neighbours (Å) after each atom.
Fractional positions:
Au (0.2500, 0.2500, 0.2500)  4 Hg 2.96, 4 Sc 2.96
Hg (0.5000, 0.5000, 0.5000)  4 Au 2.96, 4 Hg 2.96
Hg (0.7500, 0.7500, 0.7500)  4 Hg 2.96, 4 Sc 2.96
Sc (0.0000, 0.0000, 0.0000)  4 Hg 2.96, 4 Au 2.96

Calculated values
For the total magnetic moment, the calculation gives 0.002 Bohr magnetons per cell. The formation energy is -0.332 eV/atom. As for the energy: -11.5 eV for the cell shown. The space group is F-43m, No. 216.

***

# 12
Computed, not measured: a relaxed structure of SnHgAu2Se4 at the GGA-PBE level of DFT.

abc: 8.5462 7.5010 7.1707
angles: 90.00 90.00 90.00
With the nearest neighbours (Å) after each atom.
Fractional positions:
Au (0.2430, 0.2306, 0.4762)  3 Se 2.50-2.64
Au (0.7570, 0.2306, 0.4762)  3 Se 2.50-2.64
Au (0.2570, 0.7694, 0.9762)  3 Se 2.50-2.64
Au (0.7430, 0.7694, 0.9762)  3 Se 2.50-2.64
Hg (0.0000, 0.3480, 0.0546)  4 Se 2.69-2.84
Hg (0.5000, 0.6520, 0.5546)  4 Se 2.69-2.84
Se (0.2589, 0.1504, 0.1377)  1 Au 2.50, 1 Sn 2.62, 1 Hg 2.73
Se (0.7411, 0.1504, 0.1377)  1 Au 2.50, 1 Sn 2.62, 1 Hg 2.73
Se (0.5000, 0.6650, 0.1595)  2 Au 2.58, 1 Sn 2.61, 1 Hg 2.84
Se (0.0000, 0.6910, 0.1630)  2 Au 2.64, 1 Sn 2.64, 1 Hg 2.69
Se (0.2411, 0.8496, 0.6377)  1 Au 2.50, 1 Sn 2.62, 1 Hg 2.73
Se (0.7589, 0.8496, 0.6377)  1 Au 2.50, 1 Sn 2.62, 1 Hg 2.73
Se (0.0000, 0.3350, 0.6595)  2 Au 2.58, 1 Sn 2.61, 1 Hg 2.84
Se (0.5000, 0.3090, 0.6630)  2 Au 2.64, 1 Sn 2.64, 1 Hg 2.69
Sn (0.5000, 0.3400, 0.0301)  4 Se 2.61-2.64
Sn (0.0000, 0.6600, 0.5301)  4 Se 2.61-2.64

Calculated values
As for the energy: -51.9 eV for the cell shown. The space group is Pmn2_1, No. 31.

***

# 13
Computed, not measured: a relaxed structure of SnHg2Au at the GGA-PBE level of DFT.

abc: 5.1163 5.1163 5.1163
angles: 60.00 60.00 60.00
With the nearest neighbours (Å) after each atom.
Fractional positions:
Au (0.2500, 0.2500, 0.2500)  4 Sn 3.13, 4 Hg 3.13
Hg (0.0000, 0.0000, 0.0000)  4 Hg 3.13, 4 Au 3.13
Hg (0.7500, 0.7500, 0.7500)  4 Sn 3.13, 4 Hg 3.13
Sn (0.5000, 0.5000, 0.5000)  4 Hg 3.13, 4 Au 3.13

Calculated values
As for the energy: -7.5 eV for the cell shown. The space group is F-43m, No. 216.